# 1
Density functional theory data (meta-GGA SCAN) for Zr2HgIr at its PBEsol-relaxed geometry.

Its space-group type is No. 99. As for the calculated formation energy: -0.42 eV per atom. The calculation puts the density of states at the Fermi level at 3.158 states/eV/f.u. The calculation puts the total energy at -50.58 eV/atom.

Cell: 3.404 3.404 6.614 Å, 90.00 90.00 90.00°
Sites, in units of the cell vectors:
1 Zr 0.000 0.000 0.000
2 Zr 0.500 0.500 0.292
3 Hg 0.000 0.000 0.549
4 Ir 0.500 0.500 0.805

# 2
Density functional theory data (meta-GGA SCAN) for KHg5 at its PBEsol-relaxed geometry.

Its space-group type is No. 123. As for the calculated formation energy: -0.20 eV per atom. The calculation puts the density of states at the Fermi level at 1.833 states/eV/f.u. The calculation puts the total energy at -58.39 eV/atom. The energy above the most stable polymorph in this dataset comes out at 15 meV per atom.

Cell: 3.899 3.899 10.364 Å, 90.00 90.00 90.00°
Sites, in units of the cell vectors:
1 K 0.000 0.000 0.000
2 Hg 0.000 0.000 0.348
3 Hg 0.000 0.000 0.652
4 Hg 0.500 0.500 0.203
5 Hg 0.500 0.500 0.500
6 Hg 0.500 0.500 0.797

# 3
Density functional theory data (meta-GGA SCAN) for KHg5 at its PBEsol-relaxed geometry.

Its space-group type is No. 65. As for the calculated formation energy: -0.21 eV per atom. The calculation puts the density of states at the Fermi level at 1.631 states/eV/f.u. The calculation puts the total energy at -58.40 eV/atom. The energy above the most stable polymorph in this dataset comes out at 7 meV per atom.

Cell: 4.832 13.387 4.848 Å, 90.00 90.00 90.00°
Sites, in units of the cell vectors:
1 K 0.000 0.000 0.000
2 K 0.500 0.500 0.000
3 Hg 0.000 0.172 0.500
4 Hg 0.000 0.324 0.000
5 Hg 0.000 0.500 0.500
6 Hg 0.000 0.676 0.000
7 Hg 0.000 0.828 0.500
8 Hg 0.500 0.000 0.500
9 Hg 0.500 0.176 0.000
10 Hg 0.500 0.328 0.500
11 Hg 0.500 0.672 0.500
12 Hg 0.500 0.824 0.000

# 4
Density functional theory data (meta-GGA SCAN) for K2Hg7 at its PBEsol-relaxed geometry.

Its space-group type is No. 164. As for the calculated formation energy: -0.28 eV per atom. The calculation puts the density of states at the Fermi level at 2.474 states/eV/f.u. The calculation puts the total energy at -55.15 eV/atom.

Cell: 6.701 6.701 6.295 Å, 90.00 90.00 120.00°
Sites, in units of the cell vectors:
1 K 0.333 0.667 0.345
2 K 0.667 0.333 0.655
3 Hg 0.000 0.000 0.500
4 Hg 0.181 0.362 0.832
5 Hg 0.181 0.819 0.832
6 Hg 0.362 0.181 0.168
7 Hg 0.638 0.819 0.832
8 Hg 0.819 0.181 0.168
9 Hg 0.819 0.638 0.168

# 5
Density functional theory data (meta-GGA SCAN) for KHg5 at its PBEsol-relaxed geometry.

Its space-group type is No. 12. As for the calculated formation energy: -0.21 eV per atom. The calculation puts the density of states at the Fermi level at 2.212 states/eV/f.u. The calculation puts the total energy at -58.41 eV/atom. The energy above the most stable polymorph in this dataset comes out at 0 meV per atom.

Cell: 8.944 5.159 6.667 Å, 90.00 90.32 90.00°
Sites, in units of the cell vectors:
1 K 0.000 0.000 0.000
2 K 0.500 0.500 0.000
3 Hg 0.000 0.000 0.500
4 Hg 0.166 0.500 0.734
5 Hg 0.168 0.500 0.267
6 Hg 0.332 0.000 0.733
7 Hg 0.334 0.000 0.266
8 Hg 0.500 0.500 0.500
9 Hg 0.666 0.000 0.734
10 Hg 0.668 0.000 0.267
11 Hg 0.832 0.500 0.733
12 Hg 0.834 0.500 0.266

# 6
Density functional theory data (meta-GGA SCAN) for KHg at its PBEsol-relaxed geometry.

Its space-group type is No. 2. As for the calculated formation energy: -0.34 eV per atom. The calculation puts the density of states at the Fermi level at 0.890 states/eV/f.u. The calculation puts the total energy at -38.58 eV/atom.

Cell: 6.483 6.632 6.927 Å, 105.28 102.04 93.31°
Sites, in units of the cell vectors:
1 K 0.166 0.300 0.149
2 K 0.252 0.841 0.525
3 K 0.748 0.159 0.475
4 K 0.834 0.700 0.851
5 Hg 0.302 0.401 0.711
6 Hg 0.390 0.805 0.045
7 Hg 0.610 0.195 0.955
8 Hg 0.698 0.599 0.289

# 7
Density functional theory data (meta-GGA SCAN) for KHg2 at its PBEsol-relaxed geometry.

Its space-group type is No. 74. As for the calculated formation energy: -0.36 eV per atom. The calculation puts the density of states at the Fermi level at 1.546 states/eV/f.u. The calculation puts the total energy at -48.58 eV/atom.

Cell: 5.128 7.899 8.763 Å, 90.00 90.00 90.00°
Sites, in units of the cell vectors:
1 K 0.000 0.250 0.052
2 K 0.000 0.750 0.948
3 K 0.500 0.250 0.448
4 K 0.500 0.750 0.552
5 Hg 0.000 0.058 0.662
6 Hg 0.000 0.442 0.662
7 Hg 0.000 0.558 0.338
8 Hg 0.000 0.942 0.338
9 Hg 0.500 0.058 0.838
10 Hg 0.500 0.442 0.838
11 Hg 0.500 0.558 0.162
12 Hg 0.500 0.942 0.162

# 8
Density functional theory data (meta-GGA SCAN) for KHg at its PBEsol-relaxed geometry.

Its space-group type is No. 129. As for the calculated formation energy: -0.24 eV per atom. The calculation puts the density of states at the Fermi level at 0.979 states/eV/f.u. The calculation puts the total energy at -38.49 eV/atom.

Cell: 4.007 4.007 9.241 Å, 90.00 90.00 90.00°
Sites, in units of the cell vectors:
1 K 0.250 0.250 0.202
2 K 0.750 0.750 0.798
3 Hg 0.250 0.250 0.570
4 Hg 0.750 0.750 0.430

# 9
Density functional theory data (meta-GGA SCAN) for KHg2 at its PBEsol-relaxed geometry.

Its space-group type is No. 141. As for the calculated formation energy: -0.32 eV per atom. The calculation puts the density of states at the Fermi level at 1.118 states/eV/f.u. The calculation puts the total energy at -48.54 eV/atom.

Cell: 4.694 4.694 17.775 Å, 90.00 90.00 90.00°
Sites, in units of the cell vectors:
1 K 0.000 0.250 0.375
2 K 0.000 0.750 0.625
3 K 0.500 0.250 0.125
4 K 0.500 0.750 0.875
5 Hg 0.000 0.250 0.795
6 Hg 0.000 0.250 0.955
7 Hg 0.000 0.750 0.045
8 Hg 0.000 0.750 0.205
9 Hg 0.500 0.250 0.545
10 Hg 0.500 0.250 0.705
11 Hg 0.500 0.750 0.295
12 Hg 0.500 0.750 0.455

# 10
Density functional theory data (meta-GGA SCAN) for KHg2 at its PBEsol-relaxed geometry.

Its space-group type is No. 194. As for the calculated formation energy: -0.27 eV per atom. The calculation puts the density of states at the Fermi level at 1.374 states/eV/f.u. The calculation puts the total energy at -48.49 eV/atom.

Cell: 5.593 5.593 6.521 Å, 90.00 90.00 120.00°
Sites, in units of the cell vectors:
1 K 0.333 0.667 0.250
2 K 0.667 0.333 0.750
3 Hg 0.000 0.000 0.000
4 Hg 0.000 0.000 0.500
5 Hg 0.333 0.667 0.750
6 Hg 0.667 0.333 0.250

# 11
Density functional theory data (meta-GGA SCAN) for KHg2 at its PBEsol-relaxed geometry.

Its space-group type is No. 227. As for the calculated formation energy: -0.29 eV per atom. The calculation puts the density of states at the Fermi level at 1.370 states/eV/f.u. The calculation puts the total energy at -48.51 eV/atom.

Cell: 6.207 6.207 6.207 Å, 60.00 60.00 60.00°
Sites, in units of the cell vectors:
1 K 0.125 0.125 0.125
2 K 0.875 0.875 0.875
3 Hg 0.000 0.500 0.500
4 Hg 0.500 0.000 0.500
5 Hg 0.500 0.500 0.000
6 Hg 0.500 0.500 0.500

# 12
Density functional theory data (meta-GGA SCAN) for KHg at its PBEsol-relaxed geometry.

Its space-group type is No. 8. As for the calculated formation energy: -0.27 eV per atom. The calculation puts the density of states at the Fermi level at 1.144 states/eV/f.u. The calculation puts the total energy at -38.52 eV/atom.

Cell: 12.285 5.214 8.869 Å, 90.00 131.99 90.00°
Sites, in units of the cell vectors:
1 K 0.000 0.000 0.000
2 K 0.064 0.500 0.709
3 K 0.360 0.500 0.309
4 K 0.500 0.500 0.000
5 K 0.564 0.000 0.709
6 K 0.860 0.000 0.309
7 Hg 0.119 0.500 0.382
8 Hg 0.236 0.000 0.602
9 Hg 0.306 0.000 0.998
10 Hg 0.619 0.000 0.382
11 Hg 0.736 0.500 0.602
12 Hg 0.806 0.500 0.998

# 13
Density functional theory data (meta-GGA SCAN) for KHg6 at its PBEsol-relaxed geometry.

Its space-group type is No. 62. As for the calculated formation energy: -0.19 eV per atom. The calculation puts the density of states at the Fermi level at 2.107 states/eV/f.u. The calculation puts the total energy at -59.81 eV/atom.

Cell: 13.269 5.198 10.485 Å, 90.00 90.00 90.00°
Sites, in units of the cell vectors:
1 K 0.179 0.250 0.132
2 K 0.321 0.750 0.632
3 K 0.679 0.250 0.368
4 K 0.821 0.750 0.868
5 Hg 0.003 0.750 0.106
6 Hg 0.047 0.750 0.642
7 Hg 0.090 0.750 0.361
8 Hg 0.143 0.750 0.896
9 Hg 0.151 0.250 0.500
10 Hg 0.197 0.250 0.771
11 Hg 0.303 0.750 0.271
12 Hg 0.349 0.750 0.000
13 Hg 0.357 0.250 0.396
14 Hg 0.410 0.250 0.861
15 Hg 0.453 0.250 0.142
16 Hg 0.497 0.250 0.606
17 Hg 0.503 0.750 0.394
18 Hg 0.547 0.750 0.858
19 Hg 0.590 0.750 0.139
20 Hg 0.643 0.750 0.604
21 Hg 0.651 0.250 0.000
22 Hg 0.697 0.250 0.729
23 Hg 0.803 0.750 0.229
24 Hg 0.849 0.750 0.500
25 Hg 0.857 0.250 0.104
26 Hg 0.910 0.250 0.639
27 Hg 0.953 0.250 0.358
28 Hg 0.997 0.250 0.894

# 14
Density functional theory data (meta-GGA SCAN) for KHg at its PBEsol-relaxed geometry.

Its space-group type is No. 166. As for the calculated formation energy: -0.29 eV per atom. The calculation puts the density of states at the Fermi level at 0.924 states/eV/f.u. The calculation puts the total energy at -38.53 eV/atom.

Cell: 5.200 5.200 18.292 Å, 90.00 90.00 120.00°
Sites, in units of the cell vectors:
1 K 0.000 0.000 0.102
2 K 0.000 0.000 0.898
3 K 0.333 0.667 0.565
4 K 0.333 0.667 0.769
5 K 0.667 0.333 0.231
6 K 0.667 0.333 0.435
7 Hg 0.000 0.000 0.332
8 Hg 0.000 0.000 0.668
9 Hg 0.333 0.667 0.335
10 Hg 0.333 0.667 0.999
11 Hg 0.667 0.333 0.001
12 Hg 0.667 0.333 0.665

# 15
Density functional theory data (meta-GGA SCAN) for K5Hg at its PBEsol-relaxed geometry.

Its space-group type is No. 65. As for the calculated formation energy: -0.04 eV per atom. The calculation puts the density of states at the Fermi level at 3.245 states/eV/f.u. The calculation puts the total energy at -18.34 eV/atom. The energy above the most stable polymorph in this dataset comes out at 46 meV per atom.

Cell: 5.712 17.983 6.220 Å, 90.00 90.00 90.00°
Sites, in units of the cell vectors:
1 K 0.000 0.000 0.000
2 K 0.000 0.143 0.500
3 K 0.000 0.344 0.000
4 K 0.000 0.656 0.000
5 K 0.000 0.857 0.500
6 K 0.500 0.156 0.000
7 K 0.500 0.357 0.500
8 K 0.500 0.500 0.000
9 K 0.500 0.643 0.500
10 K 0.500 0.844 0.000
11 Hg 0.000 0.500 0.500
12 Hg 0.500 0.000 0.500

# 16
Density functional theory data (meta-GGA SCAN) for KHg2 at its PBEsol-relaxed geometry.

Its space-group type is No. 62. As for the calculated formation energy: -0.29 eV per atom. The calculation puts the density of states at the Fermi level at 1.201 states/eV/f.u. The calculation puts the total energy at -48.51 eV/atom.

Cell: 6.793 5.244 9.844 Å, 90.00 90.00 90.00°
Sites, in units of the cell vectors:
1 K 0.161 0.250 0.074
2 K 0.339 0.750 0.574
3 K 0.661 0.250 0.426
4 K 0.839 0.750 0.926
5 Hg 0.028 0.250 0.708
6 Hg 0.149 0.250 0.406
7 Hg 0.351 0.750 0.906
8 Hg 0.472 0.750 0.208
9 Hg 0.528 0.250 0.792
10 Hg 0.649 0.250 0.094
11 Hg 0.851 0.750 0.594
12 Hg 0.972 0.750 0.292

# 17
Density functional theory data (meta-GGA SCAN) for K5Hg at its PBEsol-relaxed geometry.

Its space-group type is No. 8. As for the calculated formation energy: -0.08 eV per atom. The calculation puts the density of states at the Fermi level at 3.790 states/eV/f.u. The calculation puts the total energy at -18.39 eV/atom. The energy above the most stable polymorph in this dataset comes out at 0 meV per atom.

Cell: 15.198 4.426 10.833 Å, 90.00 113.25 90.00°
Sites, in units of the cell vectors:
1 K 0.000 0.000 0.000
2 K 0.039 0.000 0.402
3 K 0.207 0.500 0.845
4 K 0.248 0.500 0.248
5 K 0.373 0.000 0.624
6 K 0.500 0.500 0.000
7 K 0.539 0.500 0.402
8 K 0.707 0.000 0.845
9 K 0.748 0.000 0.248
10 K 0.873 0.500 0.624
11 Hg 0.373 0.000 0.123
12 Hg 0.873 0.500 0.123

# 18
Density functional theory data (meta-GGA SCAN) for KHg5 at its PBEsol-relaxed geometry.

Its space-group type is No. 191. As for the calculated formation energy: -0.17 eV per atom. The calculation puts the density of states at the Fermi level at 2.731 states/eV/f.u. The calculation puts the total energy at -58.37 eV/atom. The energy above the most stable polymorph in this dataset comes out at 41 meV per atom.

Cell: 6.027 6.027 5.224 Å, 90.00 90.00 120.00°
Sites, in units of the cell vectors:
1 K 0.000 0.000 0.000
2 Hg 0.000 0.500 0.500
3 Hg 0.333 0.667 0.000
4 Hg 0.500 0.000 0.500
5 Hg 0.500 0.500 0.500
6 Hg 0.667 0.333 0.000

# 19
Density functional theory data (meta-GGA SCAN) for KHg2 at its PBEsol-relaxed geometry.

Its space-group type is No. 123. As for the calculated formation energy: -0.24 eV per atom. The calculation puts the density of states at the Fermi level at 1.093 states/eV/f.u. The calculation puts the total energy at -48.46 eV/atom.

Cell: 4.198 4.198 5.715 Å, 90.00 90.00 90.00°
Sites, in units of the cell vectors:
1 K 0.000 0.000 0.000
2 Hg 0.000 0.500 0.500
3 Hg 0.500 0.000 0.500

# 20
Density functional theory data (meta-GGA SCAN) for K3Hg11 at its PBEsol-relaxed geometry.

Its space-group type is No. 71. As for the calculated formation energy: -0.27 eV per atom. The calculation puts the density of states at the Fermi level at 4.682 states/eV/f.u. The calculation puts the total energy at -55.61 eV/atom.

Cell: 9.299 9.299 9.299 Å, 148.73 111.87 76.86°
Sites, in units of the cell vectors:
1 K 0.000 0.000 0.000
2 K 0.301 0.301 0.000
3 K 0.699 0.699 0.000
4 Hg 0.027 0.666 0.361
5 Hg 0.150 0.864 0.285
6 Hg 0.305 0.666 0.639
7 Hg 0.309 0.500 0.809
8 Hg 0.421 0.136 0.285
9 Hg 0.500 0.000 0.500
10 Hg 0.579 0.864 0.715
11 Hg 0.691 0.500 0.191
12 Hg 0.695 0.334 0.361
13 Hg 0.850 0.136 0.715
14 Hg 0.973 0.334 0.639